## CeSmS2O (PBE)

Data for a relaxed CeSmS2O crystal.

a b c (Å): 3.939 3.939 13.975
angles (deg): 90.00 90.00 90.00
Positions (direct):
Ce  0.250  0.250  0.090
Ce  0.750  0.750  0.910
Sm  0.250  0.250  0.620
Sm  0.750  0.750  0.380
S  0.250  0.250  0.406
S  0.250  0.250  0.811
S  0.750  0.750  0.189
S  0.750  0.750  0.594
O  0.250  0.750  0.000
O  0.750  0.250  0.000

## Properties
raw formation energy: -12.7 eV per formula unit

## ErLuMnZn (PBE)

Data for a relaxed ErLuMnZn crystal.

a b c (Å): 4.929 4.929 4.929
angles (deg): 60.00 60.00 60.00
Positions (direct):
Er  0.000  0.000  0.000
Lu  0.500  0.500  0.500
Mn  0.750  0.750  0.750
Zn  0.250  0.250  0.250

## Properties
raw total energy: -4.942 eV per atom

## PmNdGd2 (PBE)

Data for a relaxed PmNdGd2 crystal.

a b c (Å): 5.757 5.757 5.757
angles (deg): 60.00 60.00 60.00
Positions (direct):
Pm  0.000  0.000  0.000
Nd  0.500  0.500  0.500
Gd  0.250  0.250  0.250
Gd  0.750  0.750  0.750

## Properties
relative energy among the computed polymorphs: 7.2 kJ per mole of atoms

## Tb2Pr5Nd3 (PBE)

Data for a relaxed Tb2Pr5Nd3 crystal.

a b c (Å): 10.137 10.137 10.137
angles (deg): 123.49 93.58 112.69
Positions (direct):
Tb  0.124  0.087  0.211
Tb  0.376  0.587  0.963
Tb  0.624  0.413  0.037
Tb  0.876  0.913  0.789
Pr  0.001  0.250  0.751
Pr  0.124  0.398  0.522
Pr  0.250  0.750  0.500
Pr  0.376  0.898  0.274
Pr  0.499  0.250  0.249
Pr  0.501  0.750  0.751
Pr  0.624  0.102  0.726
Pr  0.750  0.250  0.500
Pr  0.876  0.602  0.478
Pr  0.999  0.750  0.249
Nd  0.125  0.750  0.875
Nd  0.250  0.250  0.000
Nd  0.375  0.250  0.625
Nd  0.625  0.750  0.375
Nd  0.750  0.750  0.000
Nd  0.875  0.250  0.125

## Properties
relative energy among the computed polymorphs: 17.1 kJ per mole of atoms

## MgTe2W (PBE)

Data for a relaxed MgTe2W crystal.

a b c (Å): 2.958 4.233 7.963
angles (deg): 90.00 91.54 90.00
Positions (direct):
Mg  0.000  0.000  0.000
Te  0.322  0.500  0.280
Te  0.678  0.500  0.720
W  0.500  0.000  0.500

## Properties
raw formation energy: 2.2 eV per formula unit

## RhPb2I (PBE)

Data for a relaxed RhPb2I crystal.

a b c (Å): 8.176 8.176 8.176
angles (deg): 130.12 130.12 73.21
Positions (direct):
Rh  0.000  0.000  0.000
Rh  0.750  0.250  0.500
Pb  0.030  0.625  0.905
Pb  0.375  0.280  0.405
Pb  0.720  0.125  0.095
Pb  0.875  0.970  0.595
I  0.250  0.750  0.500
I  0.500  0.500  0.000

## Properties
relative energy among the computed polymorphs: 0.0 kJ per mole of atoms
raw formation energy: 0.4 eV per formula unit

## Ca3SbPt8 (PBE)

Data for a relaxed Ca3SbPt8 crystal.

a b c (Å): 9.413 9.413 9.413
angles (deg): 33.82 33.82 33.82
Positions (direct):
Ca  0.000  0.000  0.000
Ca  0.129  0.129  0.129
Ca  0.616  0.616  0.616
Sb  0.482  0.482  0.482
Pt  0.058  0.564  0.564
Pt  0.064  0.064  0.564
Pt  0.064  0.564  0.064
Pt  0.313  0.313  0.313
Pt  0.564  0.058  0.564
Pt  0.564  0.064  0.064
Pt  0.564  0.564  0.058
Pt  0.815  0.815  0.815

## Properties
raw formation energy: -9.1 eV per formula unit

## NpGe2Pd (PBE)

Data for a relaxed NpGe2Pd crystal.

a b c (Å): 4.746 4.746 4.746
angles (deg): 60.00 60.00 60.00
Positions (direct):
Np  0.000  0.000  0.000
Ge  0.250  0.250  0.250
Ge  0.750  0.750  0.750
Pd  0.500  0.500  0.500

## Properties
raw total energy: -7.006 eV per atom

Number 1: DOS(E_F) 6.65 states/eV/f.u., total magnetic moment 0.72 μB/f.u.. Number 2: DOS(E_F) 5.00 states/eV/f.u., total magnetic moment 2.78 μB/f.u.. Number 3: DOS(E_F) 6.95 states/eV/f.u., total magnetic moment 16.23 μB/f.u.. Number 4: DOS(E_F) 14.57 states/eV/f.u., total magnetic moment 0.00 μB/f.u.. Number 5: DOS(E_F) 2.72 states/eV/f.u., total magnetic moment 0.00 μB/f.u.. Number 6: DOS(E_F) 0.64 states/eV/f.u., total magnetic moment 0.00 μB/f.u.. Number 7: DOS(E_F) 7.32 states/eV/f.u., total magnetic moment 0.00 μB/f.u.. Number 8: DOS(E_F) 8.70 states/eV/f.u., total magnetic moment 4.11 μB/f.u..